No. 1
Compound: TbNd3Er
Source: Alexandria
Functional: PBE
Structure: optimized geometry

a = 3.6364 Å, b = 7.2274 Å, c = 25.5444 Å
α = 90.00°, β = 90.00°, γ = 90.00°
Last column: nearest neighbours and their distance in Å.
Fractional coordinates of all 20 atoms:
Nd 0.2500 0.8699 0.7502  8 Nd 3.61-3.65, 4 Tb 3.64-3.66
Nd 0.7500 0.1183 0.6485  2 Tb 3.58-3.65, 2 Er 3.59, 8 Nd 3.62-3.65
Nd 0.7500 0.6301 0.2502  8 Nd 3.61-3.65, 4 Tb 3.64-3.66
Nd 0.7500 0.1277 0.0493  4 Er 3.58-3.63, 2 Tb 3.61, 6 Nd 3.61-3.64
Nd 0.7500 0.1301 0.2498  8 Nd 3.61-3.65, 4 Tb 3.64-3.66
Nd 0.7500 0.6277 0.4507  4 Er 3.58-3.63, 2 Tb 3.61, 6 Nd 3.61-3.64
Nd 0.7500 0.6183 0.8515  2 Tb 3.58-3.65, 2 Er 3.59, 8 Nd 3.62-3.65
Nd 0.2500 0.8817 0.3515  2 Tb 3.58-3.65, 2 Er 3.59, 8 Nd 3.62-3.65
Nd 0.2500 0.3723 0.5493  4 Er 3.58-3.63, 2 Tb 3.61, 6 Nd 3.61-3.64
Nd 0.2500 0.8723 0.9507  4 Er 3.58-3.63, 2 Tb 3.61, 6 Nd 3.61-3.64
Nd 0.2500 0.3817 0.1485  2 Tb 3.58-3.65, 2 Er 3.59, 8 Nd 3.62-3.65
Nd 0.2500 0.3699 0.7498  8 Nd 3.61-3.65, 4 Tb 3.64-3.66
Tb 0.7500 0.1236 0.8517  8 Nd 3.58-3.66, 2 Er 3.61, 2 Tb 3.64
Tb 0.7500 0.6236 0.6483  8 Nd 3.58-3.66, 2 Er 3.61, 2 Tb 3.64
Tb 0.2500 0.3764 0.3517  8 Nd 3.58-3.66, 2 Er 3.61, 2 Tb 3.64
Tb 0.2500 0.8764 0.1483  8 Nd 3.58-3.66, 2 Er 3.61, 2 Tb 3.64
Er 0.2500 0.8743 0.5491  6 Nd 3.58-3.63, 4 Er 3.59-3.64, 2 Tb 3.61
Er 0.2500 0.3743 0.9509  6 Nd 3.58-3.63, 4 Er 3.59-3.64, 2 Tb 3.61
Er 0.7500 0.6257 0.0491  6 Nd 3.58-3.63, 4 Er 3.59-3.64, 2 Tb 3.61
Er 0.7500 0.1257 0.4509  6 Nd 3.58-3.63, 4 Er 3.59-3.64, 2 Tb 3.61

SG: Pnma (62)
DFT total energy: -4.68 eV/atom
crystal system: orthorhombic

No. 2
Compound: Tb2Nd5Er3
Source: Alexandria
Functional: PBE
Structure: optimized geometry

a = 10.9687 Å, b = 9.9536 Å, c = 9.9536 Å
α = 56.55°, β = 56.56°, γ = 56.56°
Last column: nearest neighbours and their distance in Å.
Fractional coordinates of all 20 atoms:
Er 0.7500 0.0000 0.0000  4 Tb 3.30, 2 Nd 3.37
Er 0.3762 0.3743 0.8733  1 Tb 3.21, 1 Nd 3.32
Er 0.8762 0.8733 0.3743  1 Tb 3.21, 1 Nd 3.32
Er 0.2500 0.0000 0.0000  4 Tb 3.30, 2 Nd 3.37
Er 0.1238 0.1267 0.6257  1 Tb 3.21, 1 Nd 3.32
Er 0.6238 0.6257 0.1267  1 Tb 3.21, 1 Nd 3.32
Nd 0.8716 0.5260 0.7308  1 Tb 2.90
Nd 0.6284 0.2692 0.4740  1 Tb 2.90
Nd 0.5034 0.2466 0.2466  2 Tb 3.36, 3 Nd 3.37-3.47, 1 Er 3.37
Nd 0.1284 0.4740 0.2692  1 Tb 2.90
Nd 0.0034 0.2466 0.2466  2 Tb 3.36, 3 Nd 3.37-3.47, 1 Er 3.37
Nd 0.9966 0.7534 0.7534  2 Tb 3.36, 3 Nd 3.37-3.47, 1 Er 3.37
Nd 0.7500 0.5000 0.5000  6 Nd 3.40-3.47
Nd 0.2500 0.5000 0.5000  6 Nd 3.40-3.47
Nd 0.4966 0.7534 0.7534  2 Tb 3.36, 3 Nd 3.37-3.47, 1 Er 3.37
Nd 0.3716 0.7308 0.5260  1 Tb 2.90
Tb 0.8807 0.2095 0.0291  1 Nd 2.90, 1 Er 3.21
Tb 0.1193 0.7905 0.9709  1 Nd 2.90, 1 Er 3.21
Tb 0.6193 0.9709 0.7905  1 Nd 2.90, 1 Er 3.21
Tb 0.3807 0.0291 0.2095  1 Nd 2.90, 1 Er 3.21

SG: Ibam (72)
DFT total energy: -4.31 eV/atom
crystal system: orthorhombic

No. 3
Compound: Tb2NdEr9
Source: Alexandria
Functional: PBE
Structure: optimized geometry

a = 4.9910 Å, b = 4.9910 Å, c = 14.9724 Å
α = 90.00°, β = 90.00°, γ = 90.00°
Last column: nearest neighbours and their distance in Å.
Fractional coordinates of all 12 atoms:
Er 0.0000 0.5000 0.1684  2 Tb 3.52, 8 Er 3.52-3.55, 2 Nd 3.55
Er 0.5000 0.0000 0.5000  8 Er 3.52-3.53, 4 Tb 3.52
Er 0.5000 0.5000 0.3345  8 Er 3.52, 4 Tb 3.53
Er 0.0000 0.5000 0.8316  2 Tb 3.52, 8 Er 3.52-3.55, 2 Nd 3.55
Er 0.5000 0.5000 0.0000  4 Nd 3.53, 8 Er 3.55
Er 0.5000 0.0000 0.8316  2 Tb 3.52, 8 Er 3.52-3.55, 2 Nd 3.55
Er 0.5000 0.0000 0.1684  2 Tb 3.52, 8 Er 3.52-3.55, 2 Nd 3.55
Er 0.5000 0.5000 0.6655  8 Er 3.52, 4 Tb 3.53
Er 0.0000 0.5000 0.5000  8 Er 3.52-3.53, 4 Tb 3.52
Nd 0.0000 0.0000 0.0000  12 Er 3.53-3.55
Tb 0.0000 0.0000 0.3340  12 Er 3.52-3.53
Tb 0.0000 0.0000 0.6660  12 Er 3.52-3.53

SG: P4/mmm (123)
DFT total energy: -4.57 eV/atom
crystal system: tetragonal

No. 4
Compound: Tb2NdEr
Source: Alexandria
Functional: PBE
Structure: optimized geometry

a = 5.0667 Å, b = 5.0522 Å, c = 5.0522 Å
α = 90.00°, β = 90.00°, γ = 90.00°
Last column: nearest neighbours and their distance in Å.
Fractional coordinates of all 4 atoms:
Er 0.5000 0.5000 0.5000  4 Nd 3.57, 8 Tb 3.58
Tb 0.0000 0.0000 0.5000  4 Tb 3.57, 4 Er 3.58, 4 Nd 3.58
Tb 0.0000 0.5000 0.0000  4 Tb 3.57, 4 Er 3.58, 4 Nd 3.58
Nd 0.5000 0.0000 0.0000  4 Er 3.57, 8 Tb 3.58

SG: P4/mmm (123)
DFT total energy: -4.63 eV/atom
crystal system: tetragonal

No. 5
Compound: TbNd3Er3
Source: Alexandria
Functional: PBE
Structure: optimized geometry

a = 5.7541 Å, b = 9.6326 Å, c = 9.6322 Å
α = 120.00°, β = 90.00°, γ = 90.00°
Last column: nearest neighbours and their distance in Å.
Fractional coordinates of all 14 atoms:
Nd 0.7500 0.1934 0.9500  5 Er 3.56-3.68, 6 Nd 3.59-3.72, 1 Tb 3.60
Nd 0.7500 0.7566 0.8065  5 Er 3.56-3.68, 6 Nd 3.59-3.72, 1 Tb 3.60
Nd 0.7500 0.0501 0.2436  5 Er 3.56-3.68, 6 Nd 3.59-3.72, 1 Tb 3.60
Nd 0.2500 0.9499 0.7564  5 Er 3.56-3.68, 6 Nd 3.59-3.72, 1 Tb 3.60
Nd 0.2500 0.2434 0.1935  5 Er 3.56-3.68, 6 Nd 3.59-3.72, 1 Tb 3.60
Nd 0.2500 0.8066 0.0500  5 Er 3.56-3.68, 6 Nd 3.59-3.72, 1 Tb 3.60
Er 0.7500 0.6159 0.0953  4 Er 3.54-3.62, 5 Nd 3.56-3.68, 3 Tb 3.56-3.63
Er 0.7500 0.9046 0.5204  4 Er 3.54-3.62, 5 Nd 3.56-3.68, 3 Tb 3.56-3.64
Er 0.2500 0.3841 0.9047  4 Er 3.54-3.62, 5 Nd 3.56-3.68, 3 Tb 3.56-3.63
Er 0.2500 0.0954 0.4796  4 Er 3.54-3.62, 5 Nd 3.56-3.68, 3 Tb 3.56-3.64
Er 0.2500 0.5205 0.6159  4 Er 3.54-3.62, 5 Nd 3.56-3.68, 3 Tb 3.56-3.64
Er 0.7500 0.4795 0.3841  4 Er 3.54-3.62, 5 Nd 3.56-3.68, 3 Tb 3.56-3.64
Tb 0.7500 0.3334 0.6668  9 Er 3.56-3.64, 3 Nd 3.60
Tb 0.2500 0.6666 0.3332  9 Er 3.56-3.64, 3 Nd 3.60

SG: P6_3/m (176)
DFT total energy: -4.64 eV/atom
crystal system: hexagonal

No. 6
Compound: Tb7Nd16Er6
Source: Alexandria
Functional: PBE
Structure: optimized geometry

a = 11.3134 Å, b = 11.3134 Å, c = 11.3134 Å
α = 60.00°, β = 60.00°, γ = 60.00°
Last column: nearest neighbours and their distance in Å.
Fractional coordinates of all 29 atoms:
Nd 0.3508 0.3508 0.3508  3 Tb 3.30, 3 Er 3.65, 3 Nd 3.66
Nd 0.3508 0.9476 0.3508  3 Tb 3.30, 3 Er 3.65, 3 Nd 3.66
Nd 0.6492 0.0524 0.6492  3 Tb 3.30, 3 Er 3.65, 3 Nd 3.66
Nd 0.3746 0.8751 0.8751  4 Tb 3.46-3.47, 3 Er 3.60, 3 Nd 3.66
Nd 0.0524 0.6492 0.6492  3 Tb 3.30, 3 Er 3.65, 3 Nd 3.66
Nd 0.8751 0.8751 0.3746  4 Tb 3.46-3.47, 3 Er 3.60, 3 Nd 3.66
Nd 0.1249 0.6254 0.1249  4 Tb 3.46-3.47, 3 Er 3.60, 3 Nd 3.66
Nd 0.9476 0.3508 0.3508  3 Tb 3.30, 3 Er 3.65, 3 Nd 3.66
Nd 0.1249 0.1249 0.6254  4 Tb 3.46-3.47, 3 Er 3.60, 3 Nd 3.66
Nd 0.8751 0.8751 0.8751  4 Tb 3.46-3.47, 3 Er 3.60, 3 Nd 3.66
Nd 0.6492 0.6492 0.0524  3 Tb 3.30, 3 Er 3.65, 3 Nd 3.66
Nd 0.1249 0.1249 0.1249  4 Tb 3.46-3.47, 3 Er 3.60, 3 Nd 3.66
Nd 0.6492 0.6492 0.6492  3 Tb 3.30, 3 Er 3.65, 3 Nd 3.66
Nd 0.3508 0.3508 0.9476  3 Tb 3.30, 3 Er 3.65, 3 Nd 3.66
Nd 0.8751 0.3746 0.8751  4 Tb 3.46-3.47, 3 Er 3.60, 3 Nd 3.66
Nd 0.6254 0.1249 0.1249  4 Tb 3.46-3.47, 3 Er 3.60, 3 Nd 3.66
Tb 0.0000 0.0000 0.5000  8 Nd 3.30-3.47
Tb 0.0000 0.5000 0.0000  8 Nd 3.30-3.47
Tb 0.0000 0.0000 0.0000  8 Nd 3.46
Tb 0.5000 0.0000 0.5000  8 Nd 3.30-3.47
Tb 0.0000 0.5000 0.5000  8 Nd 3.30-3.47
Tb 0.5000 0.0000 0.0000  8 Nd 3.30-3.47
Tb 0.5000 0.5000 0.0000  8 Nd 3.30-3.47
Er 0.2643 0.7357 0.7357  8 Nd 3.60-3.65, 4 Tb 4.01
Er 0.7357 0.7357 0.2643  8 Nd 3.60-3.65, 4 Tb 4.01
Er 0.2643 0.7357 0.2643  8 Nd 3.60-3.65, 4 Tb 4.01
Er 0.7357 0.2643 0.2643  8 Nd 3.60-3.65, 4 Tb 4.01
Er 0.7357 0.2643 0.7357  8 Nd 3.60-3.65, 4 Tb 4.01
Er 0.2643 0.2643 0.7357  8 Nd 3.60-3.65, 4 Tb 4.01

SG: Fm-3m (225)
DFT total energy: -4.48 eV/atom
crystal system: cubic

No. 7
Compound: TbNd4Er
Source: Alexandria
Functional: PBE
Structure: optimized geometry

a = 8.1135 Å, b = 8.1135 Å, c = 5.1462 Å
α = 90.01°, β = 90.01°, γ = 37.00°
Last column: nearest neighbours and their distance in Å.
Fractional coordinates of all 6 atoms:
Nd 0.1649 0.1649 0.5000  2 Er 3.61, 2 Tb 3.61, 8 Nd 3.64-3.67
Nd 0.3349 0.3349 0.0000  2 Tb 3.62, 2 Er 3.62, 8 Nd 3.64-3.67
Nd 0.6651 0.6651 0.0000  2 Tb 3.62, 2 Er 3.62, 8 Nd 3.64-3.67
Nd 0.8351 0.8351 0.5000  2 Er 3.61, 2 Tb 3.61, 8 Nd 3.64-3.67
Er 0.0000 0.0000 0.0000  8 Nd 3.61-3.62, 4 Tb 3.64
Tb 0.5000 0.5000 0.5000  8 Nd 3.61-3.62, 4 Er 3.64

SG: Cmmm (65)
DFT total energy: -4.69 eV/atom
crystal system: orthorhombic

No. 8
Compound: Tb3Nd7Er
Source: Alexandria
Functional: PBE
Structure: optimized geometry

a = 5.9287 Å, b = 8.5877 Å, c = 8.5877 Å
α = 82.99°, β = 110.20°, γ = 110.20°
Last column: nearest neighbours and their distance in Å.
Fractional coordinates of all 11 atoms:
Tb 0.5000 0.0000 0.0000  4 Nd 3.25
Tb 0.0000 0.7948 0.2052  9 Nd 3.35-3.69
Tb 0.0000 0.2052 0.7948  9 Nd 3.35-3.69
Nd 0.7887 0.7901 0.7901  1 Er 3.31, 2 Tb 3.35, 2 Nd 3.48
Nd 0.6932 0.9832 0.4026  2 Tb 3.25-3.64, 3 Nd 3.36-3.48
Nd 0.3068 0.0168 0.5974  2 Tb 3.25-3.64, 3 Nd 3.36-3.48
Nd 0.2113 0.2099 0.2099  1 Er 3.31, 2 Tb 3.35, 2 Nd 3.48
Nd 0.0000 0.5000 0.5000  2 Er 2.96
Nd 0.3068 0.5974 0.0168  2 Tb 3.25-3.64, 3 Nd 3.36-3.48
Nd 0.6932 0.4026 0.9832  2 Tb 3.25-3.64, 3 Nd 3.36-3.48
Er 0.5000 0.5000 0.5000  4 Nd 2.96-3.31

SG: C2/m (12)
DFT total energy: -4.48 eV/atom
crystal system: monoclinic

Calculated total moment, 0.001, 0.003, 0.000, 0.000, 0.000, 0.001, 0.001, 0.000 μB per cell (same order as the records).